(1)
Below is an optimized crystal structure of Th8AsSe6, with properties calculated at the PBE-GGA level.

abc: 10.574 10.574 4.283
angles: 90.00 90.00 120.00
Element x y z (fractional)
1 Th 0.035 0.304 0.260
2 Th 0.269 0.965 0.260
3 Th 0.304 0.269 0.740
4 Th 0.333 0.667 0.746
5 Th 0.667 0.333 0.254
6 Th 0.696 0.731 0.260
7 Th 0.731 0.035 0.740
8 Th 0.965 0.696 0.740
9 As 0.000 0.000 0.500
10 Se 0.122 0.633 0.246
11 Se 0.367 0.489 0.246
12 Se 0.489 0.122 0.754
13 Se 0.511 0.878 0.246
14 Se 0.633 0.511 0.754
15 Se 0.878 0.367 0.754



(2)
Below is an optimized crystal structure of Th3As2Se, with properties calculated at the PBE-GGA level.

abc: 9.468 9.468 5.996
angles: 90.00 90.00 143.06
Element x y z (fractional)
1 Th 0.000 0.000 0.000
2 Th 0.165 0.835 0.500
3 Th 0.333 0.667 0.000
4 Th 0.500 0.500 0.500
5 Th 0.667 0.333 0.000
6 Th 0.835 0.165 0.500
7 As 0.000 0.000 0.500
8 As 0.167 0.833 0.000
9 As 0.500 0.500 0.000
10 As 0.833 0.167 0.000
11 Se 0.333 0.667 0.500
12 Se 0.667 0.333 0.500



(3)
Below is an optimized crystal structure of Th4AsSe4, with properties calculated at the PBE-GGA level.

abc: 7.723 7.723 7.723
angles: 125.48 125.48 80.75
Element x y z (fractional)
1 Th 0.071 0.637 0.000
2 Th 0.363 0.363 0.435
3 Th 0.637 0.071 0.000
4 Th 0.929 0.929 0.565
5 As 0.000 0.000 0.000
6 Se 0.000 0.500 0.500
7 Se 0.324 0.324 0.000
8 Se 0.500 0.000 0.500
9 Se 0.676 0.676 0.000



no.,formation energy without anion corrections (eV/atom),calculated total energy (eV/atom),DOS(E_F) (states/eV per atom)
1,-1.079,-6.740,0.96
2,-1.451,-7.292,0.87
3,-1.042,-6.405,1.17